Record 1
The following is a DFT calculation (GGA-PBE) of Ce2MgP after structural relaxation.

Results
Energy above the most stable polymorph in this dataset in eV per atom: 0.000
VASP energy in eV per atom: -5.28
Crystal system: trigonal
Calculated formation energy in eV/atom: -0.56
Magnetization in μB per formula unit: 2.3

abc: 3.8713 3.8713 26.4451
angles: 90.00 90.00 120.00
Last column: nearest neighbours and their distance in Å.
Space group R3m (No. 160, hexagonal axes)
One atom of each set of equivalent atoms:
1 Ce 0.0000 0.0000 0.0000 (multiplicity 3)  3 P 2.80
2 Ce 0.0000 0.0000 0.2056 (multiplicity 3)  3 P 2.80
3 Mg 0.0000 0.0000 0.7685 (multiplicity 3)  6 Ce 3.50-3.54, 6 Mg 3.87
4 P 0.0000 0.0000 0.6028 (multiplicity 3)  6 Ce 2.80

=====

Record 2
The following is a DFT calculation (GGA-PBE) of Ce2MgP after structural relaxation.

Results
Energy above the most stable polymorph in this dataset in eV per atom: 0.196
VASP energy in eV per atom: -5.09
Crystal system: trigonal
Calculated formation energy in eV/atom: -0.37
Magnetization in μB per formula unit: 2.1

abc: 3.6916 3.6916 31.3625
angles: 90.00 90.00 120.00
Last column: nearest neighbours and their distance in Å.
Space group R-3m (No. 166, hexagonal axes)
One atom of each set of equivalent atoms:
1 Ce 0.0000 0.0000 0.1113 (multiplicity 6)  3 P 2.75
2 Mg 0.0000 0.0000 0.0000 (multiplicity 3)  2 Ce 3.49, 6 Mg 3.69
3 P 0.0000 0.0000 0.5000 (multiplicity 3)  6 Ce 2.75

=====

Record 3
The following is a DFT calculation (GGA-PBE) of Ce4MgP5 after structural relaxation.

Results
VASP energy in eV per atom: -6.52
Crystal system: trigonal
Calculated formation energy in eV/atom: -1.29
Magnetization in μB per formula unit: 2.0

abc: 4.0849 4.0849 48.2369
angles: 90.00 90.00 120.00
Last column: nearest neighbours and their distance in Å.
Space group R-3m (No. 166, hexagonal axes)
One atom of each set of equivalent atoms:
1 Ce 0.0000 0.0000 0.1047 (multiplicity 6)  6 P 2.81-2.90
2 Ce 0.0000 0.0000 0.2988 (multiplicity 6)  6 P 2.89-2.90
3 Mg 0.0000 0.0000 0.5000 (multiplicity 3)  6 P 2.78
4 P 0.0000 0.0000 0.0000 (multiplicity 3)  6 Ce 2.89
5 P 0.0000 0.0000 0.1970 (multiplicity 6)  3 Mg 2.78, 3 Ce 2.81
6 P 0.0000 0.0000 0.4028 (multiplicity 6)  6 Ce 2.90

=====

Record 4
The following is a DFT calculation (GGA-PBE) of Ce3MgP4 after structural relaxation.

Results
VASP energy in eV per atom: -6.33
Crystal system: cubic
Calculated formation energy in eV/atom: -1.20
Magnetization in μB per formula unit: 1.3

abc: 5.7139 5.7139 5.7139
angles: 90.00 90.00 90.00
Last column: nearest neighbours and their distance in Å.
Space group Pm-3m (No. 221)
One atom of each set of equivalent atoms:
1 Ce 0.0000 0.0000 0.5000 (multiplicity 3)  6 P 2.86
2 Mg 0.5000 0.5000 0.5000 (multiplicity 1)  6 P 2.86
3 P 0.0000 0.0000 0.0000 (multiplicity 1)  6 Ce 2.86
4 P 0.0000 0.5000 0.5000 (multiplicity 3)  4 Ce 2.86, 2 Mg 2.86

=====

Record 5
The following is a DFT calculation (GGA-PBE) of CeMgP2Pd5 after structural relaxation.

Results
VASP energy in eV per atom: -5.48
Crystal system: tetragonal
Calculated formation energy in eV/atom: -0.55
Magnetization in μB per formula unit: 1.0

abc: 4.5361 4.5361 8.3918
angles: 90.00 90.00 90.00
Last column: nearest neighbours and their distance in Å.
Space group P4/mmm (No. 123)
One atom of each set of equivalent atoms:
1 Ce 0.0000 0.0000 0.0000 (multiplicity 1)  12 Pd 3.21-3.52
2 Mg 0.0000 0.0000 0.5000 (multiplicity 1)  8 Pd 2.72
3 P 0.5000 0.5000 0.2729 (multiplicity 2)  5 Pd 2.29-2.30
4 Pd 0.0000 0.5000 0.3204 (multiplicity 4)  2 P 2.30
5 Pd 0.5000 0.5000 0.0000 (multiplicity 1)  2 P 2.29

=====

Record 6
The following is a DFT calculation (GGA-PBE) of Ce2MgP3Pd4 after structural relaxation.

Results
VASP energy in eV per atom: -5.96
Crystal system: tetragonal
Calculated formation energy in eV/atom: -0.91
Magnetization in μB per formula unit: 1.1

abc: 4.0746 4.0746 10.8474
angles: 90.00 90.00 90.00
Last column: nearest neighbours and their distance in Å.
Space group P-4m2 (No. 115)
One atom of each set of equivalent atoms:
1 Ce 0.0000 0.5000 0.2291 (multiplicity 2)  4 P 3.05, 8 Pd 3.18-3.21
2 Mg 0.0000 0.0000 0.5000 (multiplicity 1)  4 Pd 2.58, 4 P 2.88
3 P 0.0000 0.5000 0.8643 (multiplicity 2)  5 Pd 2.37-2.51
4 P 0.5000 0.5000 0.5000 (multiplicity 1)  4 Pd 2.58, 4 Mg 2.88
5 Pd 0.0000 0.0000 0.0000 (multiplicity 1)  4 P 2.51
6 Pd 0.0000 0.5000 0.6461 (multiplicity 2)  3 P 2.37-2.58, 2 Mg 2.58
7 Pd 0.5000 0.5000 0.0000 (multiplicity 1)  4 P 2.51

=====

Record 7
The following is a DFT calculation (GGA-PBE) of Ce2PmMgP4 after structural relaxation.

Results
VASP energy in eV per atom: -6.20
Crystal system: monoclinic
Calculated formation energy in eV/atom: -1.22
Magnetization in μB per formula unit: 0.8

abc: 6.9561 4.0905 7.0565
angles: 90.00 110.28 90.00
Last column: nearest neighbours and their distance in Å.
Space group P2/m (No. 10)
One atom of each set of equivalent atoms:
1 Ce 0.0000 0.0000 0.0000 (multiplicity 1)  6 P 2.84
2 Ce 0.0000 0.5000 0.5000 (multiplicity 1)  6 P 2.87-2.88
3 Pm 0.5000 0.0000 0.5000 (multiplicity 1)  6 P 2.89-2.91
4 Mg 0.5000 0.5000 0.0000 (multiplicity 1)  6 P 2.85-2.88
5 P 0.2451 0.5000 0.2461 (multiplicity 2)  3 Ce 2.84-2.87, 1 Mg 2.88, 2 Pm 2.89
6 P 0.2500 0.0000 0.7556 (multiplicity 2)  3 Ce 2.84-2.88, 2 Mg 2.85, 1 Pm 2.91

=====

Record 8
The following is a DFT calculation (GGA-PBE) of Ce2MgP3Pt4 after structural relaxation.

Results
VASP energy in eV per atom: -6.34
Crystal system: tetragonal
Calculated formation energy in eV/atom: -0.96
Magnetization in μB per formula unit: 0.9

abc: 4.1275 4.1275 10.6262
angles: 90.00 90.00 90.00
Last column: nearest neighbours and their distance in Å.
Space group P-4m2 (No. 115)
One atom of each set of equivalent atoms:
1 Ce 0.0000 0.5000 0.2338 (multiplicity 2)  4 P 3.11, 8 Pt 3.18-3.23
2 Mg 0.0000 0.0000 0.5000 (multiplicity 1)  4 Pt 2.59
3 P 0.0000 0.5000 0.8671 (multiplicity 2)  5 Pt 2.34-2.50
4 P 0.5000 0.5000 0.5000 (multiplicity 1)  4 Pt 2.59
5 Pt 0.0000 0.0000 0.0000 (multiplicity 1)  4 P 2.50
6 Pt 0.0000 0.5000 0.6470 (multiplicity 2)  3 P 2.34-2.59, 2 Mg 2.59
7 Pt 0.5000 0.5000 0.0000 (multiplicity 1)  4 P 2.50

=====

Copy entry 8 word for word.
The following is a DFT calculation (GGA-PBE) of Ce2MgP3Pt4 after structural relaxation.

Results
VASP energy in eV per atom: -6.34
Crystal system: tetragonal
Calculated formation energy in eV/atom: -0.96
Magnetization in μB per formula unit: 0.9

abc: 4.1275 4.1275 10.6262
angles: 90.00 90.00 90.00
Last column: nearest neighbours and their distance in Å.
Space group P-4m2 (No. 115)
One atom of each set of equivalent atoms:
1 Ce 0.0000 0.5000 0.2338 (multiplicity 2)  4 P 3.11, 8 Pt 3.18-3.23
2 Mg 0.0000 0.0000 0.5000 (multiplicity 1)  4 Pt 2.59
3 P 0.0000 0.5000 0.8671 (multiplicity 2)  5 Pt 2.34-2.50
4 P 0.5000 0.5000 0.5000 (multiplicity 1)  4 Pt 2.59
5 Pt 0.0000 0.0000 0.0000 (multiplicity 1)  4 P 2.50
6 Pt 0.0000 0.5000 0.6470 (multiplicity 2)  3 P 2.34-2.59, 2 Mg 2.59
7 Pt 0.5000 0.5000 0.0000 (multiplicity 1)  4 P 2.50